Entry 1:
A plane-wave DFT calculation with GGA-PBE was carried out for a relaxed structure of Pr2CdGaPt6.

crystal system	monoclinic
symmetry	C2/m (12)
energy relative to the elements	-0.71	eV/atom
total magnetization	0.0	μB per formula unit
E_tot	-5.68	eV per atom

Unit cell a=5.679 b=9.041 c=5.682 alpha=71.55 beta=60.02 gamma=89.99
Atoms (fractional coordinates):
Pt: 0.755 0.775 0.490
Pt: 0.736 0.225 0.019
Pt: 0.245 0.225 0.510
Pt: 0.245 0.225 0.019
Pt: 0.755 0.775 0.981
Pt: 0.264 0.775 0.981
Ga: 0.000 0.000 0.000
Pr: 0.702 0.106 0.596
Pr: 0.298 0.894 0.404
Cd: 0.500 0.500 0.000

***

Entry 2:
A plane-wave DFT calculation with GGA-PBE was carried out for a relaxed structure of PrCdGa2Pt5.

crystal system	tetragonal
symmetry	P4/mmm (123)
energy relative to the elements	-0.59	eV/atom
total magnetization	0.0	μB per formula unit
E_tot	-5.25	eV per atom

Unit cell a=4.176 b=4.176 c=9.580 alpha=90.00 beta=90.00 gamma=90.00
Atoms (fractional coordinates):
Pt: 0.500 0.000 0.730
Pt: 0.500 0.000 0.270
Pt: 0.000 0.500 0.270
Pt: 0.500 0.500 0.500
Pt: 0.000 0.500 0.730
Ga: 0.500 0.500 0.873
Ga: 0.500 0.500 0.127
Pr: 0.000 0.000 0.500
Cd: 0.000 0.000 0.000

***

Entry 3:
A plane-wave DFT calculation with GGA-PBE was carried out for a relaxed structure of Pr2CdGa4Pt3.

crystal system	tetragonal
symmetry	P-4m2 (115)
energy relative to the elements	-0.83	eV/atom
total magnetization	0.0	μB per formula unit
E_tot	-4.90	eV per atom

Unit cell a=4.342 b=4.342 c=10.742 alpha=90.00 beta=90.00 gamma=90.00
Atoms (fractional coordinates):
Ga: 0.500 0.000 0.643
Ga: 0.000 0.500 0.357
Ga: 0.500 0.500 0.000
Ga: 0.000 0.000 0.000
Cd: 0.500 0.500 0.500
Pr: 0.500 0.000 0.237
Pr: 0.000 0.500 0.763
Pt: 0.500 0.000 0.873
Pt: 0.000 0.000 0.500
Pt: 0.000 0.500 0.127

***

Entry 4:
A plane-wave DFT calculation with GGA-PBE was carried out for a relaxed structure of PrCd2GaPt2.

crystal system	tetragonal
symmetry	I4/mmm (139)
energy relative to the elements	-0.31	eV/atom
total magnetization	0.0	μB per formula unit
E_tot	-3.93	eV per atom

Unit cell a=5.363 b=5.363 c=6.490 alpha=114.40 beta=114.40 gamma=90.00
Atoms (fractional coordinates):
Cd: 0.750 0.250 0.500
Cd: 0.250 0.750 0.500
Pt: 0.774 0.774 0.548
Pt: 0.226 0.226 0.452
Ga: 0.000 0.000 0.000
Pr: 0.500 0.500 0.000

***

Entry 5:
A plane-wave DFT calculation with GGA-PBE was carried out for a relaxed structure of PrScCdGa.

crystal system	cubic
symmetry	F-43m (216)
energy relative to the elements	-0.40	eV/atom
total magnetization	0.0	μB per formula unit
E_tot	-4.16	eV per atom

Unit cell a=5.151 b=5.151 c=5.151 alpha=60.00 beta=60.00 gamma=60.00
Atoms (fractional coordinates):
Cd: 0.750 0.750 0.750
Pr: 0.000 0.000 0.000
Sc: 0.500 0.500 0.500
Ga: 0.250 0.250 0.250

***

Entry 6:
A plane-wave DFT calculation with GGA-PBE was carried out for a relaxed structure of PrSmCdGa.

crystal system	tetragonal
energy above the most stable polymorph in this dataset	0.0	meV/atom
symmetry	P4mm (99)
energy relative to the elements	-0.44	eV/atom
total magnetization	0.0	μB per formula unit
E_tot	-3.80	eV per atom

Unit cell a=3.659 b=3.659 c=7.966 alpha=90.00 beta=90.00 gamma=90.00
Atoms (fractional coordinates):
Ga: 0.000 0.000 0.365
Cd: 0.000 0.000 0.849
Pr: 0.500 0.500 0.125
Sm: 0.500 0.500 0.590